# 1
DFT (PBE) results for a relaxed structure of LaSbCl2.

POSCAR file:
```
LaSbCl2
1.0
0.0000 3.8052 3.8052
3.8052 0.0000 3.8052
3.8052 3.8052 0.0000
La Sb Cl
1 1 2
Cartesian
0.0000 0.0000 0.0000
1.9026 1.9026 1.9026
3.8052 3.8052 3.8052
5.7078 5.7078 5.7078
```

Summary:
Its symmetry is F-43m, No. 216. For the formation energy from raw total energies, the calculation gives -0.900 eV per atom. The energy relative to the lowest polymorph listed for this composition is 534 meV per atom.


# 2
DFT (PBE) results for a relaxed structure of CsCaSe2Cl.

POSCAR file:
```
CsCaSe2Cl
1.0
5.9145 0.0000 0.0000
0.0000 5.9145 0.0000
0.0000 0.0000 4.9490
Cs Ca Se Cl
1 1 2 1
Cartesian
0.0000 0.0000 0.0000
2.9573 2.9573 0.0000
0.0000 2.9573 2.4745
2.9573 0.0000 2.4745
2.9573 2.9573 2.4745
```

Summary:
Its symmetry is P4/mmm, No. 123. For the formation energy from raw total energies, the calculation gives -0.666 eV per atom.


# 3
DFT (PBE) results for a relaxed structure of In2Pd2Au.

POSCAR file:
```
In2Pd2Au
1.0
7.4415 0.0000 0.0000
0.0000 7.4415 0.0000
0.0000 0.0000 3.3859
In Pd Au
4 4 2
Cartesian
1.2034 2.5174 0.0000
2.5174 6.2381 0.0000
4.9242 1.2034 0.0000
6.2381 4.9242 0.0000
1.0284 4.7492 1.6930
2.6924 1.0284 1.6930
4.7492 6.4131 1.6930
6.4131 2.6924 1.6930
0.0000 0.0000 1.6930
3.7208 3.7208 1.6930
```

Summary:
For the formation energy, the calculation gives -0.3867 eV per atom. Its symmetry is P4/mbm, No. 127. The energy relative to the lowest polymorph listed for this composition is 4 meV per atom.


# 4
DFT (PBE) results for a relaxed structure of CePr2Hf.

POSCAR file:
```
CePr2Hf
1.0
1.6768 0.9681 12.2571
-1.6768 0.9681 12.2571
0.0000 -1.9362 12.2571
Ce Pr Hf
1 2 1
Cartesian
0.0000 0.0000 0.0000
0.0000 0.0000 15.2641
0.0000 0.0000 21.5073
0.0000 0.0000 18.3857
```

Summary:
For the formation energy, the calculation gives 0.4189 eV per atom. Its symmetry is R-3m, No. 166.